Density functional theory data (PBE-GGA) for a relaxed structure of K2TlMo.

It has space group Cmm2 (No. 35), with a = 4.432 Å, b = 4.445 Å, c = 12.112 Å, α = 90.00°, β = 90.00° and γ = 90.00°. Symmetry generates all atoms from K at (0.000, 0.000, 0.000), K at (0.000, 0.500, 0.357), Tl at (0.000, 0.000, 0.588) and Mo at (0.000, 0.500, 0.767).

The density of states at the Fermi level comes out at 8.4 states/eV per cell. The energy relative to the lowest polymorph listed for this composition comes out at 13.8 kJ/mol of atoms. The calculation puts the formation energy at 0.905 eV per atom.

Density functional theory data (PBE-GGA) for a relaxed structure of Sr2BiPPt6.

It has space group Pmmn (No. 59, origin choice 2), with a = 5.748 Å, b = 8.671 Å, c = 8.744 Å, α = 90.00°, β = 90.00° and γ = 90.00°. Symmetry generates all atoms from Sr at (0.250, 0.008, 0.229), Bi at (0.250, 0.750, 0.798), P at (0.250, 0.250, 0.729), Pt at (0.006, 0.750, 0.497), Pt at (0.014, 0.250, 0.946) and Pt at (0.250, 0.003, 0.604).

The density of states at the Fermi level comes out at 9.6 states/eV per cell. The calculation puts the formation energy at -0.661 eV per atom.

Density functional theory data (PBE-GGA) for a relaxed structure of MgTa2Be.

It has space group Pmmm (No. 47), with a = 2.898 Å, b = 3.790 Å, c = 5.887 Å, α = 90.00°, β = 90.00° and γ = 90.00°. Symmetry generates all atoms from Mg at (0.000, 0.000, 0.000), Ta at (0.500, 0.500, 0.274) and Be at (0.000, 0.000, 0.500).

The density of states at the Fermi level comes out at 2.4 states/eV per cell. The energy relative to the lowest polymorph listed for this composition comes out at 19.3 kJ/mol of atoms. The calculation puts the formation energy at 0.331 eV per atom.

Density functional theory data (PBE-GGA) for a relaxed structure of Li3Dy2NpSe6.

It has space group C2/m (No. 12), with a = 7.088 Å, b = 12.267 Å, c = 6.911 Å, α = 90.00°, β = 109.92° and γ = 90.00°. Symmetry generates all atoms from Li at (0.000, 0.000, 0.000), Li at (0.000, 0.332, 0.000), Dy at (0.000, 0.166, 0.500), Np at (0.000, 0.500, 0.500), Se at (0.247, 0.169, 0.246) and Se at (0.248, 0.000, 0.755).

The density of states at the Fermi level comes out at 14.6 states/eV per cell. The uncorrected formation energy comes out at -1.51 eV per atom.

Density functional theory data (PBE-GGA) for a relaxed structure of HoGa3Ge.

It has space group Pmma (No. 51), with a = 9.464 Å, b = 2.965 Å, c = 7.964 Å, α = 90.00°, β = 90.00° and γ = 90.00°. Symmetry generates all atoms from Ho at (0.250, 0.000, 0.165), Ga at (0.000, 0.500, 0.000), Ga at (0.000, 0.500, 0.340) and Ge at (0.250, 0.500, 0.807).

The density of states at the Fermi level comes out at 5.5 states/eV per cell. The calculation puts the formation energy at -0.099 eV per atom.

Density functional theory data (PBE-GGA) for a relaxed structure of TcAgF2.

It has space group Fm-3m (No. 225), with a = 6.143 Å, b = 6.143 Å, c = 6.143 Å, α = 90.00°, β = 90.00° and γ = 90.00°. Symmetry generates all atoms from Tc at (0.000, 0.000, 0.000), Ag at (0.000, 0.000, 0.500) and F at (0.250, 0.250, 0.250).

The density of states at the Fermi level comes out at 11.4 states/eV per cell. The uncorrected formation energy comes out at -0.29 eV per atom. The energy relative to the lowest polymorph listed for this composition comes out at 57.9 kJ/mol of atoms.

What did the second record say?
Density functional theory data (PBE-GGA) for a relaxed structure of Sr2BiPPt6.

It has space group Pmmn (No. 59, origin choice 2), with a = 5.748 Å, b = 8.671 Å, c = 8.744 Å, α = 90.00°, β = 90.00° and γ = 90.00°. Symmetry generates all atoms from Sr at (0.250, 0.008, 0.229), Bi at (0.250, 0.750, 0.798), P at (0.250, 0.250, 0.729), Pt at (0.006, 0.750, 0.497), Pt at (0.014, 0.250, 0.946) and Pt at (0.250, 0.003, 0.604).

The density of states at the Fermi level comes out at 9.6 states/eV per cell. The calculation puts the formation energy at -0.661 eV per atom.

- Number 5 is which compound?
  HoGa3Ge

- Number 6 is which compound?
  TcAgF2